*A*
# HgBHS PBE-GGA relaxed
data_HgBHS
_chemical_formula_sum 'Hg2 B2 H2 S2'
_symmetry_space_group_name_H-M 'C 1 m 1'
_symmetry_Int_Tables_number 8
_symmetry_space_group_name_Hall 'C -2y'
_cell_length_a 11.254
_cell_length_b 2.996
_cell_length_c 5.675
_cell_angle_alpha 90.00
_cell_angle_beta 102.68
_cell_angle_gamma 90.00
loop_
_atom_site_label
_atom_site_fract_x
_atom_site_fract_y
_atom_site_fract_z
Hg1 0.000 0.000 0.000
B1 0.277 0.500 0.628
H1 0.234 0.500 0.804
S1 0.299 0.000 0.460
# - Density: 4.35 g/cm3
# - Calculated volume: 186.7 Å³/cell

*B*
# HgBHS PBE-GGA relaxed
data_HgBHS
_chemical_formula_sum 'Hg1 B1 H1 S1'
_symmetry_space_group_name_H-M 'P 3 m 1'
_symmetry_Int_Tables_number 156
_symmetry_space_group_name_Hall 'P 3 -2"'
_cell_length_a 3.1192
_cell_length_b 3.1192
_cell_length_c 7.7668
_cell_angle_alpha 90.00
_cell_angle_beta 90.00
_cell_angle_gamma 120.00
loop_
_atom_site_label
_atom_site_fract_x
_atom_site_fract_y
_atom_site_fract_z
Hg1 0.0000 0.0000 0.0000
B1 0.0000 0.0000 0.7109
H1 0.0000 0.0000 0.2175
S1 0.6667 0.3333 0.6072
# - Density: 6.20 g/cm3
# - Calculated volume: 65.4 Å³/cell

*C*
# HgBHS PBE-GGA relaxed
data_HgBHS
_chemical_formula_sum 'Hg1 B1 H1 S1'
_symmetry_space_group_name_H-M 'P 1'
_symmetry_Int_Tables_number 1
_symmetry_space_group_name_Hall 'P 1'
_cell_length_a 3.115
_cell_length_b 3.115
_cell_length_c 8.550
_cell_angle_alpha 88.85
_cell_angle_beta 88.94
_cell_angle_gamma 60.00
loop_
_atom_site_label
_atom_site_fract_x
_atom_site_fract_y
_atom_site_fract_z
Hg1 0.000 0.000 0.000
B1 0.355 0.336 0.480
H1 0.359 0.342 0.339
S1 0.685 0.666 0.572
# - Fermi-level density of states: 0.036 states/eV/atom
# - Density: 5.65 g/cm3
# - Calculated volume: 71.8 Å³/cell

*D*
# HgBHS PBE-GGA relaxed
data_HgBHS
_chemical_formula_sum 'Hg1 B1 H1 S1'
_symmetry_space_group_name_H-M 'P 1 m 1'
_symmetry_Int_Tables_number 6
_symmetry_space_group_name_Hall 'P -2y'
_cell_length_a 4.383
_cell_length_b 3.109
_cell_length_c 4.917
_cell_angle_alpha 90.00
_cell_angle_beta 101.42
_cell_angle_gamma 90.00
loop_
_atom_site_label
_atom_site_fract_x
_atom_site_fract_y
_atom_site_fract_z
Hg1 0.000 0.000 0.000
B1 0.525 0.000 0.135
H1 0.362 0.500 0.527
S1 0.605 0.500 0.387
# - Fermi-level density of states: 0.117 states/eV/atom
# - Density: 6.18 g/cm3
# - Calculated volume: 65.7 Å³/cell

Decreasing stability: *C*, *A*, *B*, *D*

*A*
# HoBH PBE-GGA relaxed
data_HoBH
_chemical_formula_sum 'Ho2 B2 H2'
_symmetry_space_group_name_H-M 'P 1 21/m 1'
_symmetry_Int_Tables_number 11
_symmetry_space_group_name_Hall '-P 2yb'
_cell_length_a 3.633
_cell_length_b 3.257
_cell_length_c 6.337
_cell_angle_alpha 90.00
_cell_angle_beta 106.63
_cell_angle_gamma 90.00
loop_
_atom_site_label
_atom_site_fract_x
_atom_site_fract_y
_atom_site_fract_z
Ho1 0.135 0.250 0.269
B1 0.478 0.250 0.955
H1 0.255 0.750 0.509
# - Fermi-level density of states: 0.421 states/eV/atom
# - Density: 8.17 g/cm3
# - Calculated volume: 71.8 Å³/cell

*B*
# HoBH PBE-GGA relaxed
data_HoBH
_chemical_formula_sum 'Ho8 B8 H8'
_symmetry_space_group_name_H-M 'C m c e'
_symmetry_Int_Tables_number 64
_symmetry_space_group_name_Hall '-C 2ac 2'
_cell_length_a 6.814
_cell_length_b 6.842
_cell_length_c 6.609
_cell_angle_alpha 90.00
_cell_angle_beta 90.00
_cell_angle_gamma 90.00
loop_
_atom_site_label
_atom_site_fract_x
_atom_site_fract_y
_atom_site_fract_z
Ho1 0.250 0.147 0.250
B1 0.000 0.098 0.576
H1 0.000 0.232 0.995
# - Fermi-level density of states: 0.454 states/eV/atom
# - Density: 7.62 g/cm3
# - Calculated volume: 308.2 Å³/cell

Decreasing stability: *A*, *B*

*A*
# BH3I6 PBE-GGA relaxed
data_BH3I6
_chemical_formula_sum 'B4 H12 I24'
_symmetry_space_group_name_H-M 'C m c 21'
_symmetry_Int_Tables_number 36
_symmetry_space_group_name_Hall 'C 2c -2'
_cell_length_a 11.761
_cell_length_b 14.891
_cell_length_c 9.169
_cell_angle_alpha 90.00
_cell_angle_beta 90.00
_cell_angle_gamma 90.00
loop_
_atom_site_label
_atom_site_fract_x
_atom_site_fract_y
_atom_site_fract_z
B1 0.000 0.193 0.000
H1 0.000 0.477 0.853
H2 0.160 0.375 0.968
I1 0.000 0.054 0.085
I2 0.000 0.202 0.758
I3 0.159 0.263 0.094
I4 0.164 0.477 0.854
# - Fermi-level density of states: 0.000 states/eV/atom
# - Density: 3.21 g/cm3
# - Calculated volume: 1605.8 Å³/cell

*B*
# BH3I6 PBE-GGA relaxed
data_BH3I6
_chemical_formula_sum 'B4 H12 I24'
_symmetry_space_group_name_H-M 'C m c 21'
_symmetry_Int_Tables_number 36
_symmetry_space_group_name_Hall 'C 2c -2'
_cell_length_a 16.080
_cell_length_b 10.291
_cell_length_c 14.973
_cell_angle_alpha 90.00
_cell_angle_beta 90.00
_cell_angle_gamma 90.00
loop_
_atom_site_label
_atom_site_fract_x
_atom_site_fract_y
_atom_site_fract_z
B1 0.000 0.219 0.000
H1 0.000 0.431 0.333
H2 0.108 0.063 0.562
I1 0.000 0.040 0.925
I2 0.000 0.444 0.766
I3 0.115 0.302 0.038
I4 0.153 0.127 0.649
# - Fermi-level density of states: 0.000 states/eV/atom
# - Density: 2.08 g/cm3
# - Calculated volume: 2477.7 Å³/cell

Decreasing stability: *B*, *A*